No. 1
Ti2PdPt | PBE | relaxed

a b c (Å): 4.010 4.010 3.868
angles (deg): 90.00 90.00 90.00
Space group P4/mmm (No. 123)
One atom of each set of equivalent atoms:
Ti: 0.000 0.500 0.000
Pd: 0.000 0.000 0.500
Pt: 0.500 0.500 0.500

ρ	10.605	g cm⁻³
E	-7.48	eV/atom
E_form	-0.728	eV/atom

No. 2
CaAg6Pb2 | PBE | relaxed

a b c (Å): 9.616 9.616 9.616
angles (deg): 90.00 90.00 90.00
Space group Fm-3m (No. 225)
One atom of each set of equivalent atoms:
Ca: 0.000 0.000 0.000
Ag: 0.000 0.000 0.293
Pb: 0.250 0.250 0.250

ρ	8.229	g cm⁻³
E	-2.73	eV/atom
E_form	0.221	eV/atom